# SrScTl3 PBE optimized geometry
# **Formation enthalpy at 0 K**: -0.0089 eV per atom
# **Energy**: -15.16 eV per formula unit
# **ρ**: 7.018 Mg/m³
# **Offset from the most stable computed form**: 0 meV/atom
# **Space-group type**: Pm-3m
# **D(E_F)**: 1.3211 states/eV/atom
data_SrScTl3
_symmetry_space_group_name_H-M 'P 1'
_symmetry_Int_Tables_number 1
_symmetry_space_group_name_Hall 'P 1'
_cell_length_a 5.609
_cell_length_b 5.609
_cell_length_c 5.609
_cell_angle_alpha 90.00
_cell_angle_beta 90.00
_cell_angle_gamma 90.00
loop_
_atom_site_label
_atom_site_type_symbol
_atom_site_fract_x
_atom_site_fract_y
_atom_site_fract_z
Sc1 Sc 0.000 0.000 0.000
Sr1 Sr 0.500 0.500 0.500
Tl1 Tl 0.000 0.500 0.000
Tl2 Tl 0.000 0.000 0.500
Tl3 Tl 0.500 0.000 0.000